No. 1
A relaxed CeZnPd crystal. Source: Alexandria via LeMat-Bulk, functional PBE-GGA.

DFT formation energy	-0.591	eV per atom
excess energy over the best structure of this formula in the dataset	37	meV per atom
E_tot	-14.17	eV/f.u.
magnetization	0.19	μB per atom
symmetry	C2/m (12)

abc: 4.573 5.438 5.945
angles: 72.46 67.38 65.13
Positions (direct):
Ce1 0.543 0.220 0.694
Ce2 0.457 0.780 0.306
Zn1 0.836 0.227 0.100
Zn2 0.164 0.773 0.900
Pd1 0.174 0.354 0.298
Pd2 0.826 0.646 0.702

---

No. 2
A relaxed CeZnPd crystal. Source: Alexandria via LeMat-Bulk, functional PBE-GGA.

DFT formation energy	-0.628	eV per atom
excess energy over the best structure of this formula in the dataset	0	meV per atom
E_tot	-14.28	eV/f.u.
magnetization	0.18	μB per atom
symmetry	P-62m (189)

abc: 7.348 7.348 3.975
angles: 90.00 90.00 120.00
Positions (direct):
Ce1 0.000 0.411 0.000
Ce2 0.589 0.589 0.000
Ce3 0.411 0.000 0.000
Zn1 0.000 0.756 0.500
Zn2 0.244 0.244 0.500
Zn3 0.756 0.000 0.500
Pd1 0.000 0.000 0.000
Pd2 0.667 0.333 0.500
Pd3 0.333 0.667 0.500

---

No. 3
A relaxed Ce2Zn16Pd crystal. Source: Alexandria via LeMat-Bulk, functional PBE-GGA.

DFT formation energy	-0.272	eV per atom
E_tot	-42.61	eV/f.u.
magnetization	0.07	μB per atom
symmetry	R3m (160)

abc: 6.831 6.831 6.831
angles: 82.68 82.68 82.68
Positions (direct):
Ce1 0.664 0.664 0.664
Ce2 0.340 0.340 0.340
Zn1 0.709 0.999 0.289
Zn2 0.999 0.289 0.709
Zn3 0.289 0.709 0.999
Zn4 0.999 0.709 0.289
Zn5 0.709 0.289 0.999
Zn6 0.289 0.999 0.709
Zn7 0.353 0.839 0.353
Zn8 0.839 0.353 0.353
Zn9 0.353 0.353 0.839
Zn10 0.650 0.156 0.650
Zn11 0.156 0.650 0.650
Zn12 0.650 0.650 0.156
Zn13 0.998 0.502 0.998
Zn14 0.502 0.998 0.998
Zn15 0.998 0.998 0.502
Zn16 0.103 0.103 0.103
Pd1 0.900 0.900 0.900

---

No. 4
A relaxed CeZn9Pd2 crystal. Source: Alexandria via LeMat-Bulk, functional PBE-GGA.

DFT formation energy	-0.263	eV per atom
excess energy over the best structure of this formula in the dataset	93	meV per atom
E_tot	-30.95	eV/f.u.
magnetization	0.04	μB per atom
symmetry	P6/mmm (191)

abc: 2.912 8.824 8.824
angles: 120.00 90.00 90.00
Positions (direct):
Ce1 0.000 0.000 0.000
Zn1 0.500 0.816 0.184
Zn2 0.000 0.000 0.500
Zn3 0.000 0.500 0.500
Zn4 0.500 0.816 0.631
Zn5 0.500 0.184 0.816
Zn6 0.500 0.631 0.816
Zn7 0.500 0.184 0.369
Zn8 0.000 0.500 0.000
Zn9 0.500 0.369 0.184
Pd1 0.000 0.667 0.333
Pd2 0.000 0.333 0.667

---

No. 5
A relaxed CeZnPd crystal. Source: Alexandria via LeMat-Bulk, functional PBE-GGA.

DFT formation energy	-0.626	eV per atom
excess energy over the best structure of this formula in the dataset	2	meV per atom
E_tot	-14.28	eV/f.u.
magnetization	0.18	μB per atom
symmetry	Pnma (62)

abc: 4.433 6.870 8.034
angles: 90.00 90.00 90.00
Positions (direct):
Ce1 0.250 0.533 0.196
Ce2 0.750 0.467 0.804
Ce3 0.250 0.033 0.304
Ce4 0.750 0.967 0.696
Zn1 0.250 0.154 0.932
Zn2 0.750 0.846 0.068
Zn3 0.250 0.654 0.568
Zn4 0.750 0.346 0.432
Pd1 0.750 0.741 0.392
Pd2 0.250 0.259 0.608
Pd3 0.750 0.241 0.108
Pd4 0.250 0.759 0.892

---

No. 6
A relaxed CeZnPd6 crystal. Source: Alexandria via LeMat-Bulk, functional PBE-GGA.

DFT formation energy	-0.174	eV per atom
excess energy over the best structure of this formula in the dataset	413	meV per atom
E_tot	-39.75	eV/f.u.
magnetization	0.04	μB per atom
symmetry	R-3m (166)

abc: 5.431 5.431 7.328
angles: 68.25 68.25 60.00
Positions (direct):
Ce1 0.500 0.500 0.500
Zn1 0.000 0.000 0.000
Pd1 0.929 0.929 0.705
Pd2 0.437 0.929 0.705
Pd3 0.071 0.563 0.295
Pd4 0.563 0.071 0.295
Pd5 0.071 0.071 0.295
Pd6 0.929 0.437 0.705